No. 1
Density functional theory data (SCAN) for a crystal of MnAg2Ru relaxed with PBEsol.

Properties
* excess energy over the best structure of this formula in the dataset: 92 meV per atom
* V: 14.82 Å³ per atom
* M_tot: 5.08 μB/f.u.
* formation energy from the elements: 0.280 eV/atom
* density: 10.41 Mg/m³

Cell and atoms, written as POSCAR:
```
MnAg2Ru
1.0
3.759 0.000 0.000
0.000 3.759 0.000
0.000 0.000 4.196
Mn Ag Ru
1 2 1
Direct
0.000 0.000 0.000
0.000 0.500 0.500
0.500 0.000 0.500
0.500 0.500 0.000
```

---

No. 2
Density functional theory data (SCAN) for a crystal of MnAgRu2 relaxed with PBEsol.

Properties
* excess energy over the best structure of this formula in the dataset: 163 meV per atom
* V: 13.74 Å³ per atom
* M_tot: 1.76 μB/f.u.
* formation energy from the elements: 0.298 eV/atom
* density: 11.02 Mg/m³

Cell and atoms, written as POSCAR:
```
MnAgRu2
1.0
3.774 0.000 0.000
0.000 3.774 0.000
0.000 0.000 3.861
Mn Ag Ru
1 1 2
Direct
0.000 0.000 0.000
0.500 0.500 0.000
0.000 0.500 0.500
0.500 0.000 0.500
```

---

No. 3
Density functional theory data (SCAN) for a crystal of MnAgRu2 relaxed with PBEsol.

Properties
* excess energy over the best structure of this formula in the dataset: 0 meV per atom
* V: 14.09 Å³ per atom
* M_tot: 4.17 μB/f.u.
* formation energy from the elements: 0.135 eV/atom
* density: 10.75 Mg/m³

Cell and atoms, written as POSCAR:
```
MnAgRu2
1.0
2.709 0.000 0.000
0.000 2.709 0.000
0.000 0.000 7.681
Mn Ag Ru
1 1 2
Direct
0.000 0.000 0.000
0.500 0.500 0.738
0.000 0.000 0.461
0.500 0.500 0.238
```

---

No. 4
Density functional theory data (SCAN) for a crystal of MnAgSb relaxed with PBEsol.

Properties
* V: 18.84 Å³ per atom
* M_tot: 4.01 μB/f.u.
* density: 8.36 Mg/m³
* formation energy from raw total energies: 0.107 eV per atom

Cell and atoms, written as POSCAR:
```
MnAgSb
1.0
4.357 0.000 0.000
-2.178 3.773 0.000
0.000 0.000 3.438
Mn Ag Sb
1 1 1
Direct
0.000 0.000 0.000
0.667 0.333 0.309
0.333 0.667 0.678
```

---

No. 5
Density functional theory data (SCAN) for a crystal of ScMn2Ag relaxed with PBEsol.

Properties
* V: 15.82 Å³ per atom
* M_tot: 0.00 μB/f.u.
* formation energy from the elements: -0.213 eV/atom
* density: 6.89 Mg/m³

Cell and atoms, written as POSCAR:
```
ScMn2Ag
1.0
6.326 0.000 0.000
0.000 6.326 0.000
0.000 0.000 6.326
Sc Mn Ag
4 8 4
Direct
0.000 0.000 0.000
0.000 0.500 0.500
0.500 0.000 0.500
0.500 0.500 0.000
0.000 0.000 0.500
0.000 0.500 0.000
0.250 0.250 0.750
0.250 0.750 0.250
0.500 0.000 0.000
0.500 0.500 0.500
0.750 0.250 0.250
0.750 0.750 0.750
0.250 0.250 0.250
0.250 0.750 0.750
0.750 0.250 0.750
0.750 0.750 0.250
```

---

No. 6
Density functional theory data (SCAN) for a crystal of Sc2MnAg relaxed with PBEsol.

Properties
* V: 17.25 Å³ per atom
* M_tot: 2.17 μB/f.u.
* formation energy from the elements: -0.164 eV/atom
* density: 6.08 Mg/m³

Cell and atoms, written as POSCAR:
```
Sc2MnAg
1.0
3.137 0.000 0.000
0.000 3.137 0.000
0.000 0.000 7.012
Sc Mn Ag
2 1 1
Direct
0.000 0.000 0.218
0.000 0.000 0.782
0.500 0.500 0.000
0.500 0.500 0.500
```